A plane-wave DFT calculation with PBEsol was carried out for crystalline Li4Os at its relaxed geometry.

```
5
Lattice="-3.7236 0.0569 3.3533 4.0892 -2.0178 2.0786 1.0070 4.6877 -1.4578" Properties=species:S:1:pos:R:3 pbc="T T T"
Li 0.5035 2.3438 -0.7289
Li 2.0446 -1.0089 1.0393
Li -1.8618 0.0285 1.6767
Li 0.6863 1.3634 1.9871
Os 0.0000 0.0000 0.0000
```

The crystal system is cubic. As for the formation energy from the elements: 0.8358 eV/atom.